Below is a relaxed ReSb2F crystal, with properties calculated at the PBE-GGA level.

The structure in extended XYZ format:
```
8
Lattice="-3.916 -4.128 1.161 2.902 -3.708 -3.399 2.829 -5.726 3.701" Properties=species:S:1:pos:R:3 pbc="T T T"
Re 0.000 0.000 0.000
Re -0.797 -6.886 1.872
F -0.507 -3.918 -1.119
F 2.612 -6.676 -0.408
Sb -1.401 -4.500 1.233
Sb 2.055 -4.240 -1.061
Sb 1.724 -7.211 1.957
Sb 1.252 -11.174 0.797
```

Output
- energy relative to the lowest polymorph listed for this composition (eV per atom) = 0.202
- total magnetic moment (μB/cell) = 0.0
- space group = No. 122
- VASP energy (eV per atom) = -5.524
- energy relative to the elements, uncorrected (eV/atom) = 0.12